ZnFeGeW | PBE | relaxed

**Energy above the most stable polymorph in this dataset**: 97 meV per atom
**Symmetry**: F-43m (216)

Cell and atoms, written as extended XYZ:
```
4
Lattice="0.000 3.032 3.032 3.032 0.000 3.032 3.032 3.032 0.000" Properties=species:S:1:pos:R:3 pbc="T T T"
Zn 0.000 0.000 0.000
Fe 3.032 3.032 3.032
Ge 1.516 1.516 1.516
W 4.549 4.549 4.549
```

***

ZnFeGeW | PBE | relaxed

**Energy above the most stable polymorph in this dataset**: 0 meV per atom
**Symmetry**: F-43m (216)

Cell and atoms, written as extended XYZ:
```
4
Lattice="0.000 3.035 3.035 3.035 0.000 3.035 3.035 3.035 0.000" Properties=species:S:1:pos:R:3 pbc="T T T"
Zn 0.000 0.000 0.000
Fe 4.553 4.553 4.553
Ge 3.035 3.035 3.035
W 1.518 1.518 1.518
```

***

ZrFeGeW | PBE | relaxed

**Energy above the most stable polymorph in this dataset**: 0 meV per atom
**Symmetry**: F-43m (216)

Cell and atoms, written as extended XYZ:
```
4
Lattice="0.000 3.159 3.159 3.159 0.000 3.159 3.159 3.159 0.000" Properties=species:S:1:pos:R:3 pbc="T T T"
Zr 0.000 0.000 0.000
Fe 4.738 4.738 4.738
Ge 3.159 3.159 3.159
W 1.579 1.579 1.579
```